A plane-wave DFT calculation with PBE was carried out for an optimized crystal structure of Mn2CrMo.

## Properties
formation energy from the elements = 0.11 eV/atom
volume = 12.8 Å³ per atom
energy relative to the lowest polymorph listed for this composition = 24 meV per atom

Cell lengths 2.973, 2.973, 5.790 Å; angles 90.00, 90.00, 90.00 degrees
Positions (direct):
Mn (0.000, 0.000, 0.000)
Mn (0.500, 0.500, 0.258)
Cr (0.500, 0.500, 0.774)
Mo (0.000, 0.000, 0.498)